A geometry-optimized CrAgHg2Pb structure. Source: the Alexandria database, functional PBE.

POSCAR file:
```
CrAgHg2Pb
1.0
-2.6997 -0.2261 4.4630
-2.4740 -4.1748 -1.7081
3.6967 -3.0425 2.0820
Hg Cr Ag Pb
2 1 1 1
direct
0.5000 0.0000 0.0000 Hg
0.0000 0.0000 0.5000 Hg
0.0000 0.0000 0.0000 Cr
0.0000 0.5000 0.0000 Ag
0.5000 0.5000 0.5000 Pb
```

**Calculated formation energy**: 0.59 eV/atom
**Crystal system**: tetragonal
**Magnetization**: 4.1 μB per formula unit